Below is crystalline CoSi2Ru at its relaxed geometry, with properties calculated at the PBE-GGA level.

Geometry as extended XYZ:
```
16
Lattice="5.869 0.000 0.000 0.000 5.869 0.000 0.000 0.000 5.869" Properties=species:S:1:pos:R:3 pbc="T T T"
Co 0.000 0.000 0.000
Co 0.000 2.935 2.935
Co 2.935 0.000 2.935
Co 2.935 2.935 0.000
Si 0.000 0.000 2.935
Si 0.000 2.935 0.000
Si 1.467 1.467 1.467
Si 1.467 4.402 4.402
Si 2.935 0.000 0.000
Si 2.935 2.935 2.935
Si 4.402 1.467 4.402
Si 4.402 4.402 1.467
Ru 1.467 1.467 4.402
Ru 1.467 4.402 1.467
Ru 4.402 1.467 1.467
Ru 4.402 4.402 4.402
```

The energy comes out at -26.757 eV/f.u. The symmetry is No. 216. The volume is 12.635 Å³/atom. As for the formation energy (no corrections): 118 meV per atom. For the total magnetization, the calculation gives 0.66 μB/f.u.

Below is crystalline Zr2CdPb at its relaxed geometry, with properties calculated at the PBE-GGA level.

Geometry as extended XYZ:
```
8
Lattice="11.706 0.000 0.000 0.000 3.264 0.000 -2.353 0.000 4.869" Properties=species:S:1:pos:R:3 pbc="T T T"
Zr 0.000 0.000 0.000
Zr 2.610 1.632 0.541
Zr 5.853 1.632 0.000
Zr 8.463 0.000 0.541
Cd 1.541 0.000 2.983
Cd 7.394 1.632 2.983
Pb -1.150 1.632 2.455
Pb 4.703 0.000 2.455
```

The energy comes out at -22.036 eV/f.u. The symmetry is No. 8. The volume is 23.254 Å³/atom. The formation energy from the elements is -0.079 eV/atom. For the total magnetization, the calculation gives 0.00 μB/f.u.

Below is crystalline TaTiB4 at its relaxed geometry, with properties calculated at the PBE-GGA level.

Geometry as extended XYZ:
```
6
Lattice="3.071 0.000 0.000 -1.536 2.660 0.000 0.000 0.000 6.539" Properties=species:S:1:pos:R:3 pbc="T T T"
Ta 0.000 0.000 0.000
Ti 0.000 0.000 3.269
B 0.000 1.773 1.681
B 0.000 1.773 4.857
B 1.536 0.887 1.681
B 1.536 0.887 4.857
```

The energy comes out at -51.767 eV/f.u. The symmetry is No. 191. The volume is 8.903 Å³/atom. The formation energy from the elements is -0.885 eV/atom. For the total magnetization, the calculation gives 0.00 μB/f.u.

Below is crystalline Al2SiTe at its relaxed geometry, with properties calculated at the PBE-GGA level.

Geometry as extended XYZ:
```
16
Lattice="6.801 0.000 0.000 0.000 6.801 0.000 0.000 0.000 6.801" Properties=species:S:1:pos:R:3 pbc="T T T"
Al 1.700 1.700 1.700
Al 1.700 1.700 5.101
Al 1.700 5.101 1.700
Al 1.700 5.101 5.101
Al 5.101 1.700 1.700
Al 5.101 1.700 5.101
Al 5.101 5.101 1.700
Al 5.101 5.101 5.101
Si 0.000 0.000 0.000
Si 0.000 3.401 3.401
Si 3.401 0.000 3.401
Si 3.401 3.401 0.000
Te 0.000 0.000 3.401
Te 0.000 3.401 0.000
Te 3.401 0.000 0.000
Te 3.401 3.401 3.401
```

The calculation puts the energy above the most stable polymorph in this dataset at 508.8 meV/atom. The energy comes out at -14.584 eV/f.u. The symmetry is No. 225. The volume is 19.663 Å³/atom. As for the formation energy (no corrections): 367 meV per atom. For the total magnetization, the calculation gives 0.00 μB/f.u.